Entry 1:
{
  "formula": "Hf3MnIn",
  "functional": "PBE-GGA",
  "state": "optimized geometry",
  "lattice": [[4.805, 0.000, 0.000], [0.000, 4.805, 0.000], [0.000, 0.000, 4.805]],
  "species": ["Hf", "Hf", "Hf", "Mn", "In"],
  "frac_coords": [[0.000, 0.000, 0.500], [0.000, 0.500, 0.000], [0.500, 0.000, 0.000], [0.000, 0.000, 0.000], [0.500, 0.500, 0.500]],
  "space_group": "Pm-3m",
  "e_tot_ev_per_cell": -40.378,
  "de_polymorph_mev_per_atom": 380,
  "m_tot_mub_per_atom": 0.000
}


Entry 2:
{
  "formula": "HfMn2InNi",
  "functional": "PBE-GGA",
  "state": "optimized geometry",
  "lattice": [[4.584, 0.000, 0.000], [0.000, 4.584, 0.000], [0.000, 0.000, 4.683]],
  "species": ["Hf", "Mn", "Mn", "In", "Ni"],
  "frac_coords": [[0.000, 0.000, 0.000], [0.000, 0.500, 0.500], [0.500, 0.000, 0.500], [0.500, 0.500, 0.000], [0.000, 0.000, 0.500]],
  "space_group": "P4/mmm",
  "e_tot_ev_per_cell": -34.724,
  "m_tot_mub_per_atom": 1.476
}